Entry 1:
# ZrFe10Mo

A geometry-optimized ZrFe10Mo structure (PBE, Alexandria).

Geometry as CIF:
```
data_ZrFe10Mo
_chemical_formula_sum 'Zr1 Fe10 Mo1'
_space_group_name_H-M_alt 'P m m m'
_space_group_IT_number 47
_space_group_name_Hall '-P 2 2'
_cell_length_a 3.9850
_cell_length_b 4.7149
_cell_length_c 8.1465
_cell_angle_alpha 90.00
_cell_angle_beta 90.00
_cell_angle_gamma 90.00
loop_
_atom_site_label
_atom_site_type_symbol
_atom_site_fract_x
_atom_site_fract_y
_atom_site_fract_z
_atom_site_occupancy
Zr1 Zr 0.0000 0.0000 0.0000 1
Fe1 Fe 0.0000 0.0000 0.3415 1
Fe2 Fe 0.0000 0.5000 0.1774 1
Fe3 Fe 0.5000 0.0000 0.5000 1
Fe4 Fe 0.5000 0.2528 0.2569 1
Fe5 Fe 0.5000 0.5000 0.0000 1
Mo1 Mo 0.0000 0.5000 0.5000 1
```

Properties
As for the mass density: 8.1 g cm⁻³. The total magnetization comes out at 15.1 Bohr magnetons per cell. The crystal system is orthorhombic. The calculation puts the energy relative to the elements at 111 kJ/mol of formula units. Its density of states at the Fermi level is 13.64 states/eV/f.u.

---

Entry 2:
# ZrFe2Mo2

A geometry-optimized ZrFe2Mo2 structure (PBE, Alexandria).

Geometry as CIF:
```
data_ZrFe2Mo2
_chemical_formula_sum 'Zr2 Fe4 Mo4'
_space_group_name_H-M_alt 'P 4/m b m'
_space_group_IT_number 127
_space_group_name_Hall '-P 4 2ab'
_cell_length_a 7.2320
_cell_length_b 7.2320
_cell_length_c 2.8475
_cell_angle_alpha 90.00
_cell_angle_beta 90.00
_cell_angle_gamma 90.00
loop_
_atom_site_label
_atom_site_type_symbol
_atom_site_fract_x
_atom_site_fract_y
_atom_site_fract_z
_atom_site_occupancy
Zr1 Zr 0.0000 0.0000 0.0000 1
Fe1 Fe 0.1288 0.3712 0.0000 1
Mo1 Mo 0.1630 0.6630 0.5000 1
```

Properties
As for the mass density: 8.8 g cm⁻³. As for the energy above the most stable polymorph in this dataset: 0.000 eV/atom. The total magnetization comes out at 0.0 Bohr magnetons per cell. The crystal system is tetragonal. The calculation puts the energy relative to the elements at 72 kJ/mol of formula units. Its density of states at the Fermi level is 9.19 states/eV/f.u.

---

Entry 3:
# ZrFe2Mo

A geometry-optimized ZrFe2Mo structure (PBE, Alexandria).

Geometry as CIF:
```
data_ZrFe2Mo
_chemical_formula_sum 'Zr1 Fe2 Mo1'
_space_group_name_H-M_alt 'P 4/m m m'
_space_group_IT_number 123
_space_group_name_Hall '-P 4 2'
_cell_length_a 3.0502
_cell_length_b 3.0502
_cell_length_c 6.3793
_cell_angle_alpha 90.00
_cell_angle_beta 90.00
_cell_angle_gamma 90.00
loop_
_atom_site_label
_atom_site_type_symbol
_atom_site_fract_x
_atom_site_fract_y
_atom_site_fract_z
_atom_site_occupancy
Zr1 Zr 0.0000 0.0000 0.0000 1
Fe1 Fe 0.5000 0.5000 0.2782 1
Mo1 Mo 0.0000 0.0000 0.5000 1
```

Properties
As for the mass density: 8.4 g cm⁻³. The total magnetization comes out at 2.0 Bohr magnetons per cell. The crystal system is tetragonal. The calculation puts the energy relative to the elements at 12 kJ/mol of formula units. Its density of states at the Fermi level is 3.33 states/eV/f.u.

---

Entry 4:
# ZrFeMo2

A geometry-optimized ZrFeMo2 structure (PBE, Alexandria).

Geometry as CIF:
```
data_ZrFeMo2
_chemical_formula_sum 'Zr1 Fe1 Mo2'
_space_group_name_H-M_alt 'P 1 m 1'
_space_group_IT_number 6
_space_group_name_Hall 'P -2y'
_cell_length_a 2.7955
_cell_length_b 4.3851
_cell_length_c 5.3741
_cell_angle_alpha 90.00
_cell_angle_beta 99.84
_cell_angle_gamma 90.00
loop_
_atom_site_label
_atom_site_type_symbol
_atom_site_fract_x
_atom_site_fract_y
_atom_site_fract_z
_atom_site_occupancy
Zr1 Zr 0.0000 0.0000 0.0000 1
Fe1 Fe 0.7330 0.5000 0.2505 1
Mo1 Mo 0.2594 0.5000 0.7210 1
Mo2 Mo 0.4883 0.0000 0.4969 1
```

Properties
As for the mass density: 8.7 g cm⁻³. As for the energy above the most stable polymorph in this dataset: 0.120 eV/atom. The total magnetization comes out at 1.5 Bohr magnetons per cell. The crystal system is monoclinic. The calculation puts the energy relative to the elements at 53 kJ/mol of formula units. Its density of states at the Fermi level is 3.87 states/eV/f.u.

---

What did the second record say?
# ZrFe2Mo2

A geometry-optimized ZrFe2Mo2 structure (PBE, Alexandria).

Geometry as CIF:
```
data_ZrFe2Mo2
_chemical_formula_sum 'Zr2 Fe4 Mo4'
_space_group_name_H-M_alt 'P 4/m b m'
_space_group_IT_number 127
_space_group_name_Hall '-P 4 2ab'
_cell_length_a 7.2320
_cell_length_b 7.2320
_cell_length_c 2.8475
_cell_angle_alpha 90.00
_cell_angle_beta 90.00
_cell_angle_gamma 90.00
loop_
_atom_site_label
_atom_site_type_symbol
_atom_site_fract_x
_atom_site_fract_y
_atom_site_fract_z
_atom_site_occupancy
Zr1 Zr 0.0000 0.0000 0.0000 1
Fe1 Fe 0.1288 0.3712 0.0000 1
Mo1 Mo 0.1630 0.6630 0.5000 1
```

Properties
As for the mass density: 8.8 g cm⁻³. As for the energy above the most stable polymorph in this dataset: 0.000 eV/atom. The total magnetization comes out at 0.0 Bohr magnetons per cell. The crystal system is tetragonal. The calculation puts the energy relative to the elements at 72 kJ/mol of formula units. Its density of states at the Fermi level is 9.19 states/eV/f.u.

---

What is the formula in the first record?
ZrFe10Mo

---

Among the records above, which one has the lowest energy relative to the elements?
ZrFe2Mo

---

The highest total magnetization belongs to which entry?
ZrFe10Mo